MnP2O7 PBE+U optimized geometry; raw total energy = -7.18 eV per atom; symmetry = P2_1 (4); offset from the most stable computed form = 1 meV per atom; magnetic moment = 5.96 μB/cell
1.0
4.7791 0.0000 0.0000
0.0000 7.8892 0.0000
-1.9046 0.0000 6.6338
Mn P O
2 4 14
Direct
0.2205 0.0000 0.2292
0.7795 0.5000 0.7708
0.2303 0.7343 0.6040
0.3872 0.3184 0.0074
0.6128 0.8184 0.9926
0.7697 0.2343 0.3960
0.0422 0.1876 0.3317
0.1297 0.8370 0.4103
0.1486 0.4519 0.9631
0.2806 0.1352 0.0136
0.4163 0.8178 0.1354
0.4196 0.5787 0.5898
0.4208 0.8647 0.7679
0.5792 0.3647 0.2321
0.5804 0.0787 0.4102
0.5837 0.3178 0.8646
0.7194 0.6352 0.9864
0.8514 0.9519 0.0369
0.8703 0.3370 0.5897
0.9578 0.6876 0.6683